Record 1
The following is a PBE calculation of crystalline Li6CdHg5 at its relaxed geometry, from Alexandria via LeMat-Bulk.

Unit cell a=8.212 b=8.212 c=4.782 alpha=106.80 beta=106.80 gamma=121.46
Sites, in units of the cell vectors:
Li  0.076  0.416  0.746
Li  0.242  0.242  0.242
Li  0.416  0.076  0.746
Li  0.584  0.924  0.254
Li  0.758  0.758  0.758
Li  0.924  0.584  0.254
Cd  0.500  0.500  0.000
Hg  0.000  0.000  0.500
Hg  0.167  0.833  0.000
Hg  0.339  0.661  0.500
Hg  0.661  0.339  0.500
Hg  0.833  0.167  0.000

Formation energy = -355.0 meV per atom
VASP energy = -0.0556 hartree per atom
Spin magnetization = 0.00 Bohr magnetons per cell

Record 2
The following is a PBE calculation of crystalline Li2Cd5Hg3 at its relaxed geometry, from Alexandria via LeMat-Bulk.

Unit cell a=10.677 b=10.677 c=5.901 alpha=90.17 beta=90.17 gamma=42.05
Sites, in units of the cell vectors:
Li  0.044  0.405  0.250
Li  0.405  0.044  0.750
Li  0.595  0.956  0.250
Li  0.956  0.595  0.750
Cd  0.129  0.707  0.756
Cd  0.293  0.871  0.744
Cd  0.338  0.343  0.501
Cd  0.343  0.338  0.001
Cd  0.468  0.532  0.250
Cd  0.532  0.468  0.750
Cd  0.657  0.662  0.999
Cd  0.662  0.657  0.499
Cd  0.707  0.129  0.256
Cd  0.871  0.293  0.244
Hg  0.023  0.294  0.751
Hg  0.106  0.894  0.250
Hg  0.294  0.023  0.251
Hg  0.706  0.977  0.749
Hg  0.894  0.106  0.750
Hg  0.977  0.706  0.249

Formation energy = -100.9 meV per atom
VASP energy = -0.0379 hartree per atom
Energy relative to the lowest polymorph listed for this composition = 0.000 eV per atom
Spin magnetization = 0.00 Bohr magnetons per cell

Record 3
The following is a PBE calculation of crystalline LiCd8Hg6 at its relaxed geometry, from Alexandria via LeMat-Bulk.

Unit cell a=7.777 b=7.777 c=7.777 alpha=65.69 beta=65.69 gamma=65.69
Sites, in units of the cell vectors:
Li  0.000  0.000  0.000
Cd  0.123  0.766  0.455
Cd  0.234  0.545  0.877
Cd  0.335  0.335  0.335
Cd  0.455  0.123  0.766
Cd  0.545  0.877  0.234
Cd  0.665  0.665  0.665
Cd  0.766  0.455  0.123
Cd  0.877  0.234  0.545
Hg  0.049  0.380  0.744
Hg  0.256  0.951  0.620
Hg  0.380  0.744  0.049
Hg  0.620  0.256  0.951
Hg  0.744  0.049  0.380
Hg  0.951  0.620  0.256

Formation energy = -0.9 meV per atom
VASP energy = -0.0271 hartree per atom
Spin magnetization = 0.00 Bohr magnetons per cell

Record 4
The following is a PBE calculation of crystalline LiCd4Hg8 at its relaxed geometry, from Alexandria via LeMat-Bulk.

Unit cell a=8.025 b=8.025 c=8.025 alpha=56.26 beta=56.26 gamma=56.26
Sites, in units of the cell vectors:
Li  0.000  0.000  0.000
Cd  0.000  0.000  0.500
Cd  0.000  0.500  0.000
Cd  0.500  0.000  0.000
Cd  0.500  0.500  0.500
Hg  0.240  0.240  0.692
Hg  0.240  0.692  0.240
Hg  0.270  0.270  0.270
Hg  0.308  0.760  0.760
Hg  0.692  0.240  0.240
Hg  0.730  0.730  0.730
Hg  0.760  0.308  0.760
Hg  0.760  0.760  0.308

Formation energy = 5.7 meV per atom
VASP energy = -0.0224 hartree per atom
Spin magnetization = 0.00 Bohr magnetons per cell

Record 5
The following is a PBE calculation of crystalline LiCd2Hg at its relaxed geometry, from Alexandria via LeMat-Bulk.

Unit cell a=6.424 b=6.424 c=6.424 alpha=101.73 beta=101.73 gamma=126.40
Sites, in units of the cell vectors:
Li  0.000  0.000  0.000
Li  0.750  0.250  0.500
Cd  0.124  0.125  0.499
Cd  0.375  0.876  0.001
Cd  0.626  0.625  0.501
Cd  0.875  0.374  0.999
Hg  0.250  0.750  0.500
Hg  0.500  0.500  0.000

Formation energy = -45.0 meV per atom
VASP energy = -0.0388 hartree per atom
Spin magnetization = 0.00 Bohr magnetons per cell

Record 6
The following is a PBE calculation of crystalline LiCd6Hg3 at its relaxed geometry, from Alexandria via LeMat-Bulk.

Unit cell a=8.036 b=8.036 c=8.036 alpha=105.09 beta=105.09 gamma=105.09
Sites, in units of the cell vectors:
Li  0.000  0.000  0.000
Li  0.500  0.500  0.500
Cd  0.053  0.278  0.802
Cd  0.193  0.544  0.632
Cd  0.198  0.947  0.722
Cd  0.278  0.802  0.053
Cd  0.368  0.807  0.456
Cd  0.456  0.368  0.807
Cd  0.544  0.632  0.193
Cd  0.632  0.193  0.544
Cd  0.722  0.198  0.947
Cd  0.802  0.053  0.278
Cd  0.807  0.456  0.368
Cd  0.947  0.722  0.198
Hg  0.123  0.408  0.209
Hg  0.209  0.123  0.408
Hg  0.408  0.209  0.123
Hg  0.592  0.791  0.877
Hg  0.791  0.877  0.592
Hg  0.877  0.592  0.791

Formation energy = -56.5 meV per atom
VASP energy = -0.0326 hartree per atom
Spin magnetization = 0.00 Bohr magnetons per cell

Record 7
The following is a PBE calculation of crystalline Li8Cd6Hg at its relaxed geometry, from Alexandria via LeMat-Bulk.

Unit cell a=6.924 b=6.924 c=6.924 alpha=72.03 beta=72.03 gamma=72.03
Sites, in units of the cell vectors:
Li  0.125  0.643  0.447
Li  0.246  0.246  0.246
Li  0.357  0.553  0.875
Li  0.447  0.125  0.643
Li  0.553  0.875  0.357
Li  0.643  0.447  0.125
Li  0.754  0.754  0.754
Li  0.875  0.357  0.553
Cd  0.054  0.329  0.878
Cd  0.122  0.946  0.671
Cd  0.329  0.878  0.054
Cd  0.671  0.122  0.946
Cd  0.878  0.054  0.329
Cd  0.946  0.671  0.122
Hg  0.500  0.500  0.500

Formation energy = -164.5 meV per atom
VASP energy = -0.0577 hartree per atom
Spin magnetization = 0.00 Bohr magnetons per cell

Record 8
The following is a PBE calculation of crystalline Li3CdHg4 at its relaxed geometry, from Alexandria via LeMat-Bulk.

Unit cell a=7.823 b=7.823 c=4.755 alpha=107.08 beta=107.08 gamma=35.21
Sites, in units of the cell vectors:
Li  0.000  0.000  0.000
Li  0.251  0.251  0.252
Li  0.749  0.749  0.748
Cd  0.500  0.500  0.500
Hg  0.134  0.134  0.637
Hg  0.365  0.365  0.865
Hg  0.635  0.635  0.135
Hg  0.866  0.866  0.363

Formation energy = -287.7 meV per atom
VASP energy = -0.0467 hartree per atom
Energy relative to the lowest polymorph listed for this composition = 0.003 eV per atom
Spin magnetization = 0.00 Bohr magnetons per cell

Record 9
The following is a PBE calculation of crystalline Li6CdHg3 at its relaxed geometry, from Alexandria via LeMat-Bulk.

Unit cell a=7.795 b=7.795 c=6.202 alpha=90.00 beta=90.00 gamma=90.07
Sites, in units of the cell vectors:
Li  0.000  0.500  0.487
Li  0.000  0.500  0.987
Li  0.126  0.874  0.500
Li  0.126  0.874  0.969
Li  0.371  0.371  0.484
Li  0.371  0.371  0.984
Li  0.500  0.000  0.487
Li  0.500  0.000  0.987
Li  0.629  0.629  0.484
Li  0.629  0.629  0.984
Li  0.874  0.126  0.000
Li  0.874  0.126  0.469
Cd  0.325  0.675  0.235
Cd  0.675  0.325  0.735
Hg  0.155  0.185  0.735
Hg  0.185  0.155  0.235
Hg  0.334  0.666  0.735
Hg  0.666  0.334  0.235
Hg  0.815  0.845  0.735
Hg  0.845  0.815  0.235

Formation energy = -272.9 meV per atom
VASP energy = -0.0589 hartree per atom
Energy relative to the lowest polymorph listed for this composition = 0.035 eV per atom
Spin magnetization = 0.00 Bohr magnetons per cell

Record 10
The following is a PBE calculation of crystalline LiCd6Hg2 at its relaxed geometry, from Alexandria via LeMat-Bulk.

Unit cell a=7.827 b=7.827 c=4.358 alpha=98.86 beta=98.86 gamma=125.87
Sites, in units of the cell vectors:
Li  0.000  0.000  0.000
Cd  0.170  0.486  0.173
Cd  0.331  0.331  0.668
Cd  0.486  0.170  0.173
Cd  0.514  0.830  0.827
Cd  0.669  0.669  0.332
Cd  0.830  0.514  0.827
Hg  0.153  0.847  0.500
Hg  0.847  0.153  0.500

Formation energy = -75.5 meV per atom
VASP energy = -0.0355 hartree per atom
Spin magnetization = 0.00 Bohr magnetons per cell

Record 11
The following is a PBE calculation of crystalline LiCd5Hg3 at its relaxed geometry, from Alexandria via LeMat-Bulk.

Unit cell a=7.599 b=7.599 c=10.344 alpha=114.81 beta=114.81 gamma=65.60
Sites, in units of the cell vectors:
Li  0.066  0.066  0.292
Li  0.934  0.934  0.708
Cd  0.168  0.556  0.859
Cd  0.275  0.275  0.574
Cd  0.328  0.672  0.500
Cd  0.444  0.832  0.141
Cd  0.445  0.445  0.173
Cd  0.555  0.555  0.827
Cd  0.556  0.168  0.859
Cd  0.672  0.328  0.500
Cd  0.725  0.725  0.426
Cd  0.832  0.444  0.141
Hg  0.000  0.000  0.000
Hg  0.000  0.000  0.500
Hg  0.179  0.179  0.894
Hg  0.274  0.274  0.283
Hg  0.726  0.726  0.717
Hg  0.821  0.821  0.106

Formation energy = 38.5 meV per atom
VASP energy = -0.0288 hartree per atom
Spin magnetization = 0.00 Bohr magnetons per cell

Record 12
The following is a PBE calculation of crystalline LiCd5Hg6 at its relaxed geometry, from Alexandria via LeMat-Bulk.

Unit cell a=5.112 b=7.442 c=8.254 alpha=114.94 beta=98.60 gamma=92.53
Sites, in units of the cell vectors:
Li  0.000  0.000  0.000
Cd  0.000  0.500  0.000
Cd  0.346  0.830  0.656
Cd  0.359  0.339  0.675
Cd  0.641  0.661  0.325
Cd  0.654  0.170  0.344
Hg  0.139  0.921  0.322
Hg  0.145  0.401  0.325
Hg  0.496  0.766  0.999
Hg  0.504  0.234  0.001
Hg  0.855  0.599  0.675
Hg  0.861  0.079  0.678

Formation energy = -48.1 meV per atom
VASP energy = -0.0272 hartree per atom
Spin magnetization = 0.00 Bohr magnetons per cell